i:
First-principles (PBE) data for crystalline BeHRh at its relaxed geometry, as listed in Alexandria via LeMat-Bulk.

abc: 2.787 2.787 7.069
angles: 90.00 90.00 90.00
Space group I4mm (No. 107)
Symmetry-distinct sites (fractional):
Be (0.000, 0.000, 0.000)
H (0.000, 0.000, 0.769)
Rh (0.000, 0.000, 0.319)

## Properties
Its size of the total moment is 0.00 μB per formula unit.



ii:
First-principles (PBE) data for crystalline BeHRh at its relaxed geometry, as listed in Alexandria via LeMat-Bulk.

abc: 3.0390 3.0390 3.2557
angles: 90.00 90.00 120.00
Space group P3m1 (No. 156)
Symmetry-distinct sites (fractional):
Be (0.0000, 0.0000, 0.0000)
H (0.3333, 0.6667, 0.3968)
Rh (0.6667, 0.3333, 0.4978)

## Properties
Its size of the total moment is 0.00 μB per formula unit.



Least stable: i



i:
First-principles (PBE) data for crystalline Be2HRuRh at its relaxed geometry, as listed in Alexandria via LeMat-Bulk.

abc: 3.895 3.895 3.170
angles: 90.00 90.00 90.00
Space group P4/mmm (No. 123)
Symmetry-distinct sites (fractional):
Be (0.000, 0.500, 0.000)
H (0.000, 0.000, 0.000)
Ru (0.500, 0.500, 0.500)
Rh (0.000, 0.000, 0.500)

## Properties
Its size of the total moment is 0.00 μB per formula unit.



ii:
First-principles (PBE) data for crystalline Be2HRuRh at its relaxed geometry, as listed in Alexandria via LeMat-Bulk.

abc: 3.900 3.900 3.154
angles: 90.00 90.00 90.00
Space group P4/mmm (No. 123)
Symmetry-distinct sites (fractional):
Be (0.000, 0.500, 0.000)
H (0.000, 0.000, 0.000)
Ru (0.000, 0.000, 0.500)
Rh (0.500, 0.500, 0.500)

## Properties
Its size of the total moment is 0.00 μB per formula unit.



Least stable: i



i:
First-principles (PBE) data for crystalline Ta2BeHRh at its relaxed geometry, as listed in Alexandria via LeMat-Bulk.

abc: 4.042 4.042 3.805
angles: 90.00 90.00 90.00
Space group P4/mmm (No. 123)
Symmetry-distinct sites (fractional):
Ta (0.000, 0.500, 0.000)
Be (0.000, 0.000, 0.500)
H (0.000, 0.000, 0.000)
Rh (0.500, 0.500, 0.500)

## Properties
Its size of the total moment is 0.00 μB per formula unit.



ii:
First-principles (PBE) data for crystalline Ta2BeHRh at its relaxed geometry, as listed in Alexandria via LeMat-Bulk.

abc: 4.041 4.041 3.861
angles: 90.00 90.00 90.00
Space group P4/mmm (No. 123)
Symmetry-distinct sites (fractional):
Ta (0.000, 0.500, 0.000)
Be (0.000, 0.000, 0.500)
H (0.500, 0.500, 0.000)
Rh (0.500, 0.500, 0.500)

## Properties
Its size of the total moment is 0.00 μB per formula unit.



Least stable: ii